Below is Cs3Pr3MnSe8 after structural relaxation, with properties calculated at the PBE level.

Cell lengths 9.884, 9.884, 9.884 Å; angles 51.13, 51.13, 51.13 degrees
Sites, in units of the cell vectors:
Cs: 0.000 0.500 0.500
Cs: 0.500 0.000 0.500
Cs: 0.500 0.500 0.000
Pr: 0.000 0.000 0.500
Pr: 0.000 0.500 0.000
Pr: 0.500 0.000 0.000
Mn: 0.500 0.500 0.500
Se: 0.231 0.231 0.231
Se: 0.266 0.704 0.704
Se: 0.296 0.296 0.734
Se: 0.296 0.734 0.296
Se: 0.704 0.266 0.704
Se: 0.704 0.704 0.266
Se: 0.734 0.296 0.296
Se: 0.769 0.769 0.769

Calculated values
Formation energy without anion corrections   -1385 meV per atom
Space-group type   R-3m

Below is Ba2PuHgSe5 after structural relaxation, with properties calculated at the PBE level.

Cell lengths 9.752, 9.752, 13.363 Å; angles 90.00, 90.00, 154.16 degrees
Sites, in units of the cell vectors:
Ba: 0.115 0.885 0.500
Ba: 0.127 0.873 0.127
Ba: 0.873 0.127 0.627
Ba: 0.885 0.115 0.000
Pu: 0.205 0.795 0.825
Pu: 0.795 0.205 0.325
Hg: 0.455 0.545 0.257
Hg: 0.545 0.455 0.757
Se: 0.058 0.942 0.872
Se: 0.291 0.709 0.464
Se: 0.304 0.696 0.183
Se: 0.352 0.648 0.816
Se: 0.496 0.504 0.576
Se: 0.504 0.496 0.076
Se: 0.648 0.352 0.316
Se: 0.696 0.304 0.683
Se: 0.709 0.291 0.964
Se: 0.942 0.058 0.372

Calculated values
Formation energy without anion corrections   -1389 meV per atom
Space-group type   Cmc2_1

Below is CaPmIO2 after structural relaxation, with properties calculated at the PBE level.

Cell lengths 7.124, 4.278, 8.117 Å; angles 90.00, 102.78, 90.00 degrees
Sites, in units of the cell vectors:
Ca: 0.124 0.250 0.401
Ca: 0.876 0.750 0.599
Pm: 0.150 0.250 0.901
Pm: 0.850 0.750 0.099
I: 0.473 0.750 0.750
I: 0.527 0.250 0.250
O: 0.005 0.750 0.366
O: 0.024 0.750 0.891
O: 0.976 0.250 0.109
O: 0.995 0.250 0.634

Calculated values
Formation energy without anion corrections   -2779 meV per atom
Space-group type   P2_1/m

Below is CuAgP2S after structural relaxation, with properties calculated at the PBE level.

Cell lengths 4.479, 4.479, 4.754 Å; angles 90.00, 90.00, 90.00 degrees
Sites, in units of the cell vectors:
Cu: 0.000 0.000 0.000
Ag: 0.500 0.500 0.500
P: 0.000 0.500 0.000
P: 0.500 0.000 0.000
S: 0.000 0.000 0.500

Calculated values
Formation energy without anion corrections   819 meV per atom
Space-group type   P4/mmm

Below is Be2CdAs after structural relaxation, with properties calculated at the PBE level.

Cell lengths 4.499, 4.499, 4.499 Å; angles 60.00, 60.00, 60.00 degrees
Sites, in units of the cell vectors:
Be: 0.000 0.000 0.000
Be: 0.250 0.250 0.250
Cd: 0.500 0.500 0.500
As: 0.750 0.750 0.750

Calculated values
DFT formation energy   0.7930 eV per atom
Space-group type   F-43m

Below is Al4Te3 after structural relaxation, with properties calculated at the PBE level.

Cell lengths 11.926, 11.926, 11.926 Å; angles 161.63, 161.63, 26.09 degrees
Sites, in units of the cell vectors:
Al: 0.063 0.063 0.000
Al: 0.368 0.368 0.000
Al: 0.632 0.632 0.000
Al: 0.937 0.937 0.000
Te: 0.184 0.184 0.000
Te: 0.500 0.500 0.000
Te: 0.816 0.816 0.000

Calculated values
Formation energy without anion corrections   111 meV per atom
Space-group type   I4/mmm

Below is Er12GaCo6 after structural relaxation, with properties calculated at the PBE level.

Cell lengths 8.229, 8.229, 8.229 Å; angles 109.47, 109.47, 109.47 degrees
Sites, in units of the cell vectors:
Er: 0.106 0.300 0.807
Er: 0.193 0.493 0.300
Er: 0.193 0.894 0.700
Er: 0.300 0.193 0.493
Er: 0.300 0.807 0.106
Er: 0.493 0.300 0.193
Er: 0.507 0.700 0.807
Er: 0.700 0.193 0.894
Er: 0.700 0.807 0.507
Er: 0.807 0.106 0.300
Er: 0.807 0.507 0.700
Er: 0.894 0.700 0.193
Ga: 0.000 0.000 0.000
Co: 0.114 0.500 0.614
Co: 0.386 0.886 0.500
Co: 0.500 0.386 0.886
Co: 0.500 0.614 0.114
Co: 0.614 0.114 0.500
Co: 0.886 0.500 0.386

Calculated values
DFT formation energy   -0.2666 eV per atom
Space-group type   Im-3

Below is Ca7InN4 after structural relaxation, with properties calculated at the PBE level.

Cell lengths 11.680, 12.086, 3.623 Å; angles 90.00, 90.00, 90.00 degrees
Sites, in units of the cell vectors:
Ca: 0.000 0.000 0.000
Ca: 0.023 0.233 0.500
Ca: 0.233 0.069 0.500
Ca: 0.234 0.827 0.000
Ca: 0.266 0.327 0.000
Ca: 0.267 0.569 0.500
Ca: 0.477 0.733 0.500
Ca: 0.500 0.500 0.000
Ca: 0.523 0.267 0.500
Ca: 0.733 0.431 0.500
Ca: 0.734 0.673 0.000
Ca: 0.766 0.173 0.000
Ca: 0.767 0.931 0.500
Ca: 0.977 0.767 0.500
In: 0.000 0.500 0.002
In: 0.500 0.000 0.998
N: 0.129 0.897 0.500
N: 0.142 0.167 0.000
N: 0.358 0.667 0.000
N: 0.371 0.397 0.500
N: 0.629 0.603 0.500
N: 0.642 0.333 0.000
N: 0.858 0.833 0.000
N: 0.871 0.103 0.500

Calculated values
Formation energy without anion corrections   -759 meV per atom
Space-group type   P2_12_12

Below is FeAs2Cl after structural relaxation, with properties calculated at the PBE level.

Cell lengths 4.596, 4.596, 4.590 Å; angles 111.47, 111.47, 105.44 degrees
Sites, in units of the cell vectors:
Fe: 0.000 0.000 0.000
As: 0.000 0.500 0.500
As: 0.500 0.000 0.500
Cl: 0.500 0.500 0.000

Calculated values
Formation energy without anion corrections   349 meV per atom
Space-group type   C2/m

Below is Ba4Ir after structural relaxation, with properties calculated at the PBE level.

Cell lengths 6.672, 6.672, 6.672 Å; angles 109.47, 109.47, 109.47 degrees
Sites, in units of the cell vectors:
Ba: 0.000 0.000 0.500
Ba: 0.000 0.500 0.000
Ba: 0.500 0.000 0.000
Ba: 0.500 0.500 0.500
Ir: 0.000 0.000 0.000

Calculated values
DFT formation energy   0.1117 eV per atom
Space-group type   Im-3m

Below is Fe2CoTcH after structural relaxation, with properties calculated at the PBE level.

Cell lengths 3.610, 3.610, 3.808 Å; angles 90.00, 90.00, 90.00 degrees
Sites, in units of the cell vectors:
Fe: 0.000 0.500 0.000
Fe: 0.500 0.000 0.000
Co: 0.000 0.000 0.500
Tc: 0.500 0.500 0.500
H: 0.500 0.500 0.000

Calculated values
Total DFT energy (no corrections)   -7.409 eV per atom
Space-group type   P4/mmm

Below is MnZnAu2 after structural relaxation, with properties calculated at the PBE level.

Cell lengths 4.950, 4.950, 4.580 Å; angles 103.82, 103.82, 37.40 degrees
Sites, in units of the cell vectors:
Mn: 0.000 0.000 0.000
Zn: 0.255 0.255 0.702
Au: 0.508 0.508 0.511
Au: 0.744 0.744 0.189

Calculated values
DFT formation energy   -0.0931 eV per atom
Space-group type   Cm

| no. | size of the total moment (μB/atom) |
| --- | --- |
| 1 | 0.20 |
| 2 | 0.44 |
| 3 | 0.00 |
| 4 | 0.05 |
| 5 | 0.00 |
| 6 | 0.00 |
| 7 | 0.00 |
| 8 | 0.00 |
| 9 | 0.72 |
| 10 | 0.21 |
| 11 | 0.52 |
| 12 | 1.01 |